# TeMoRh2 | Alexandria via LeMat-Bulk | PBE-GGA | optimized geometry
# - uncorrected energy (hartree per atom) = -0.257
# - raw formation energy (eV per atom) = 0.170
data_TeMoRh2
_symmetry_space_group_name_H-M 'C 1 2/m 1'
_symmetry_Int_Tables_number 12
_cell_length_a 5.5522
_cell_length_b 7.9696
_cell_length_c 2.9748
_cell_angle_alpha 90.00
_cell_angle_beta 90.14
_cell_angle_gamma 90.00
loop_
_symmetry_equiv_pos_as_xyz
'x,y,z'
'-x,-y,-z'
'-x,y,-z'
'x,-y,z'
'x+1/2,y+1/2,z'
'-x+1/2,-y+1/2,-z'
'-x+1/2,y+1/2,-z'
'x+1/2,-y+1/2,z'
loop_
_atom_site_label
_atom_site_type_symbol
_atom_site_fract_x
_atom_site_fract_y
_atom_site_fract_z
Te1 Te 0.0000 0.0000 0.0000
Mo1 Mo 0.0000 0.5000 0.0000
Rh1 Rh 0.2500 0.2500 0.5000